1.
Here is LuNbNiGe after structural relaxation from the Open Quantum Materials Database. Energies are from GGA-PBE.

Unit cell a=4.662 b=4.662 c=4.662 alpha=60.00 beta=60.00 gamma=60.00
Sites, in units of the cell vectors:
Lu: 0.000 0.000 0.000
Nb: 0.750 0.750 0.750
Ni: 0.500 0.500 0.500
Ge: 0.250 0.250 0.250

**E**: -5.917 eV/atom

2.
Here is LuScNb2Ge2 after structural relaxation from the Open Quantum Materials Database. Energies are from GGA-PBE.

Unit cell a=3.963 b=3.963 c=7.562 alpha=90.00 beta=90.00 gamma=90.00
Sites, in units of the cell vectors:
Lu: 0.000 0.000 0.000
Sc: 0.500 0.500 0.294
Nb: 0.000 0.500 0.642
Nb: 0.500 0.000 0.642
Ge: 0.000 0.000 0.384
Ge: 0.500 0.500 0.902

**E**: -7.348 eV/atom

3.
Here is Lu2Nb2SiGe after structural relaxation from the Open Quantum Materials Database. Energies are from GGA-PBE.

Unit cell a=3.991 b=3.991 c=7.603 alpha=90.00 beta=90.00 gamma=90.00
Sites, in units of the cell vectors:
Lu: 0.000 0.000 0.000
Lu: 0.500 0.500 0.295
Nb: 0.000 0.500 0.643
Nb: 0.500 0.000 0.643
Si: 0.000 0.000 0.397
Ge: 0.500 0.500 0.901

**E**: -7.180 eV/atom

4.
Here is TbLuNb2Ge2 after structural relaxation from the Open Quantum Materials Database. Energies are from GGA-PBE.

Unit cell a=4.016 b=4.016 c=7.795 alpha=90.00 beta=90.00 gamma=90.00
Sites, in units of the cell vectors:
Tb: 0.000 0.000 0.000
Lu: 0.500 0.500 0.704
Nb: 0.000 0.500 0.356
Nb: 0.500 0.000 0.356
Ge: 0.000 0.000 0.605
Ge: 0.500 0.500 0.108

**E**: -7.064 eV/atom

5.
Here is YLuNb2Ge2 after structural relaxation from the Open Quantum Materials Database. Energies are from GGA-PBE.

Unit cell a=4.022 b=4.022 c=7.769 alpha=90.00 beta=90.00 gamma=90.00
Sites, in units of the cell vectors:
Y: 0.000 0.000 0.000
Lu: 0.500 0.500 0.705
Nb: 0.000 0.500 0.357
Nb: 0.500 0.000 0.357
Ge: 0.000 0.000 0.607
Ge: 0.500 0.500 0.108

**E**: -7.381 eV/atom

6.
Here is Nd2LuGe7 after structural relaxation from the Open Quantum Materials Database. Energies are from GGA-PBE.

Unit cell a=13.141 b=13.141 c=4.169 alpha=90.00 beta=90.00 gamma=162.51
Sites, in units of the cell vectors:
Nd: 0.182 0.818 0.000
Nd: 0.818 0.182 0.000
Lu: 0.500 0.500 0.500
Ge: 0.000 0.000 0.000
Ge: 0.090 0.910 0.500
Ge: 0.281 0.719 0.500
Ge: 0.412 0.588 0.000
Ge: 0.588 0.412 0.000
Ge: 0.719 0.281 0.500
Ge: 0.910 0.090 0.500

**E**: -5.173 eV/atom

7.
Here is NdLu2Ge4Pd4 after structural relaxation from the Open Quantum Materials Database. Energies are from GGA-PBE.

Unit cell a=8.114 b=8.114 c=8.114 alpha=150.47 beta=127.48 gamma=61.41
Sites, in units of the cell vectors:
Nd: 0.000 0.000 0.000
Lu: 0.374 0.874 0.500
Lu: 0.626 0.126 0.500
Ge: 0.220 0.220 0.000
Ge: 0.317 0.500 0.817
Ge: 0.683 0.500 0.183
Ge: 0.780 0.780 0.000
Pd: 0.027 0.324 0.703
Pd: 0.379 0.676 0.703
Pd: 0.621 0.324 0.297
Pd: 0.973 0.676 0.297

**E**: -5.740 eV/atom

8.
Here is Lu3Ni4Ge after structural relaxation from the Open Quantum Materials Database. Energies are from GGA-PBE.

Unit cell a=5.165 b=4.114 c=6.452 alpha=90.00 beta=93.86 gamma=90.00
Sites, in units of the cell vectors:
Lu: 0.000 0.000 0.000
Lu: 0.210 0.000 0.497
Lu: 0.502 0.500 0.868
Ni: 0.241 0.500 0.223
Ni: 0.536 0.000 0.190
Ni: 0.720 0.000 0.591
Ni: 0.980 0.500 0.697
Ge: 0.746 0.500 0.340

**E**: -5.540 eV/atom

9.
Here is LuNiGe after structural relaxation from the Open Quantum Materials Database. Energies are from GGA-PBE.

Unit cell a=11.225 b=11.225 c=9.171 alpha=90.00 beta=90.00 gamma=158.87
Sites, in units of the cell vectors:
Lu: 0.083 0.917 0.560
Lu: 0.083 0.917 0.940
Lu: 0.226 0.774 0.750
Lu: 0.385 0.615 0.750
Lu: 0.615 0.385 0.250
Lu: 0.774 0.226 0.250
Lu: 0.917 0.083 0.060
Lu: 0.917 0.083 0.440
Ni: 0.308 0.692 0.018
Ni: 0.308 0.692 0.482
Ni: 0.471 0.529 0.250
Ni: 0.500 0.500 0.000
Ni: 0.500 0.500 0.500
Ni: 0.529 0.471 0.750
Ni: 0.692 0.308 0.518
Ni: 0.692 0.308 0.982
Ge: 0.025 0.975 0.250
Ge: 0.199 0.801 0.103
Ge: 0.199 0.801 0.397
Ge: 0.363 0.637 0.250
Ge: 0.637 0.363 0.750
Ge: 0.801 0.199 0.603
Ge: 0.801 0.199 0.897
Ge: 0.975 0.025 0.750

**E**: -5.628 eV/atom

10.
Here is LuNi4Ge6 after structural relaxation from the Open Quantum Materials Database. Energies are from GGA-PBE.

Unit cell a=6.251 b=6.251 c=6.251 alpha=119.28 beta=119.28 gamma=91.25
Sites, in units of the cell vectors:
Lu: 0.000 0.000 0.000
Ni: 0.240 0.240 0.642
Ni: 0.402 0.760 0.000
Ni: 0.598 0.598 0.358
Ni: 0.760 0.402 0.000
Ge: 0.000 0.500 0.500
Ge: 0.123 0.475 0.000
Ge: 0.475 0.123 0.000
Ge: 0.500 0.000 0.500
Ge: 0.525 0.525 0.648
Ge: 0.877 0.877 0.352

**E**: -5.267 eV/atom

11.
Here is LuNiGe after structural relaxation from the Open Quantum Materials Database. Energies are from GGA-PBE.

Unit cell a=4.298 b=4.298 c=4.298 alpha=60.00 beta=60.00 gamma=60.00
Sites, in units of the cell vectors:
Lu: 0.000 0.000 0.000
Ni: 0.750 0.750 0.750
Ge: 0.500 0.500 0.500

**E**: -5.529 eV/atom

12.
Here is LuNiGe3 after structural relaxation from the Open Quantum Materials Database. Energies are from GGA-PBE.

Unit cell a=10.991 b=10.991 c=4.030 alpha=90.00 beta=90.00 gamma=158.71
Sites, in units of the cell vectors:
Lu: 0.169 0.831 0.000
Lu: 0.831 0.169 0.000
Ni: 0.388 0.612 0.500
Ni: 0.612 0.388 0.500
Ge: 0.058 0.942 0.500
Ge: 0.283 0.717 0.500
Ge: 0.443 0.557 0.000
Ge: 0.557 0.443 0.000
Ge: 0.717 0.283 0.500
Ge: 0.942 0.058 0.500

**E**: -5.306 eV/atom

13.
Here is Lu6Ni2Ge after structural relaxation from the Open Quantum Materials Database. Energies are from GGA-PBE.

Unit cell a=7.417 b=7.417 c=4.294 alpha=90.00 beta=90.00 gamma=120.00
Sites, in units of the cell vectors:
Lu: 0.000 0.272 0.000
Lu: 0.000 0.597 0.500
Lu: 0.272 0.000 0.000
Lu: 0.403 0.403 0.500
Lu: 0.597 0.000 0.500
Lu: 0.728 0.728 0.000
Ni: 0.333 0.667 0.000
Ni: 0.667 0.333 0.000
Ge: 0.000 0.000 0.500

**E**: -5.121 eV/atom

14.
Here is Lu6NiGe2 after structural relaxation from the Open Quantum Materials Database. Energies are from GGA-PBE.

Unit cell a=7.697 b=7.697 c=4.079 alpha=90.00 beta=90.00 gamma=120.00
Sites, in units of the cell vectors:
Lu: 0.000 0.250 0.000
Lu: 0.000 0.595 0.500
Lu: 0.250 0.000 0.000
Lu: 0.405 0.405 0.500
Lu: 0.595 0.000 0.500
Lu: 0.750 0.750 0.000
Ni: 0.000 0.000 0.500
Ge: 0.333 0.667 0.000
Ge: 0.667 0.333 0.000

**E**: -5.174 eV/atom

15.
Here is LuNiGeOs after structural relaxation from the Open Quantum Materials Database. Energies are from GGA-PBE.

Unit cell a=4.536 b=4.536 c=4.536 alpha=60.00 beta=60.00 gamma=60.00
Sites, in units of the cell vectors:
Lu: 0.000 0.000 0.000
Ni: 0.500 0.500 0.500
Ge: 0.250 0.250 0.250
Os: 0.750 0.750 0.750

**E**: -6.250 eV/atom

16.
Here is LuNiGePd after structural relaxation from the Open Quantum Materials Database. Energies are from GGA-PBE.

Unit cell a=4.564 b=4.564 c=4.564 alpha=60.00 beta=60.00 gamma=60.00
Sites, in units of the cell vectors:
Lu: 0.000 0.000 0.000
Ni: 0.500 0.500 0.500
Ge: 0.250 0.250 0.250
Pd: 0.750 0.750 0.750

**E**: -5.421 eV/atom

17.
Here is LuNiGePd after structural relaxation from the Open Quantum Materials Database. Energies are from GGA-PBE.

Unit cell a=4.512 b=4.512 c=4.512 alpha=60.00 beta=60.00 gamma=60.00
Sites, in units of the cell vectors:
Lu: 0.000 0.000 0.000
Ni: 0.750 0.750 0.750
Ge: 0.500 0.500 0.500
Pd: 0.250 0.250 0.250

**E**: -5.585 eV/atom

18.
Here is LuReNiGe after structural relaxation from the Open Quantum Materials Database. Energies are from GGA-PBE.

Unit cell a=4.557 b=4.557 c=4.557 alpha=60.00 beta=60.00 gamma=60.00
Sites, in units of the cell vectors:
Lu: 0.000 0.000 0.000
Re: 0.750 0.750 0.750
Ni: 0.500 0.500 0.500
Ge: 0.250 0.250 0.250

**E**: -6.340 eV/atom

19.
Here is LuScNiGe2 after structural relaxation from the Open Quantum Materials Database. Energies are from GGA-PBE.

Unit cell a=5.472 b=5.472 c=9.801 alpha=115.25 beta=115.25 gamma=43.94
Sites, in units of the cell vectors:
Lu: 0.184 0.184 0.108
Lu: 0.816 0.816 0.892
Sc: 0.008 0.008 0.334
Sc: 0.992 0.992 0.666
Ni: 0.279 0.279 0.642
Ni: 0.721 0.721 0.358
Ge: 0.353 0.353 0.432
Ge: 0.480 0.480 0.128
Ge: 0.520 0.520 0.872
Ge: 0.647 0.647 0.568

**E**: -5.932 eV/atom

20.
Here is LuScNiGe after structural relaxation from the Open Quantum Materials Database. Energies are from GGA-PBE.

Unit cell a=4.653 b=4.653 c=4.653 alpha=60.00 beta=60.00 gamma=60.00
Sites, in units of the cell vectors:
Lu: 0.000 0.000 0.000
Sc: 0.250 0.250 0.250
Ni: 0.750 0.750 0.750
Ge: 0.500 0.500 0.500

**E**: -5.393 eV/atom

21.
Here is Lu2ScNi4Ge4 after structural relaxation from the Open Quantum Materials Database. Energies are from GGA-PBE.

Unit cell a=7.680 b=7.680 c=7.680 alpha=149.68 beta=128.98 gamma=60.51
Sites, in units of the cell vectors:
Lu: 0.128 0.128 0.000
Lu: 0.872 0.872 0.000
Sc: 0.500 0.000 0.500
Ni: 0.127 0.323 0.804
Ni: 0.481 0.677 0.804
Ni: 0.519 0.323 0.196
Ni: 0.873 0.677 0.196
Ge: 0.203 0.500 0.703
Ge: 0.285 0.785 0.500
Ge: 0.715 0.215 0.500
Ge: 0.797 0.500 0.297

**E**: -5.833 eV/atom

22.
Here is TmLuNiGe2 after structural relaxation from the Open Quantum Materials Database. Energies are from GGA-PBE.

Unit cell a=5.524 b=5.524 c=10.055 alpha=115.46 beta=115.46 gamma=44.44
Sites, in units of the cell vectors:
Tm: 0.006 0.006 0.331
Tm: 0.994 0.994 0.669
Lu: 0.186 0.186 0.111
Lu: 0.814 0.814 0.889
Ni: 0.277 0.277 0.654
Ni: 0.723 0.723 0.346
Ge: 0.347 0.347 0.437
Ge: 0.480 0.480 0.121
Ge: 0.520 0.520 0.879
Ge: 0.653 0.653 0.563

**E**: -5.573 eV/atom

23.
Here is LuNiGeW after structural relaxation from the Open Quantum Materials Database. Energies are from GGA-PBE.

Unit cell a=4.598 b=4.598 c=4.598 alpha=60.00 beta=60.00 gamma=60.00
Sites, in units of the cell vectors:
Lu: 0.000 0.000 0.000
Ni: 0.500 0.500 0.500
Ge: 0.250 0.250 0.250
W: 0.750 0.750 0.750

**E**: -6.354 eV/atom

24.
Here is YLuNiGe after structural relaxation from the Open Quantum Materials Database. Energies are from GGA-PBE.

Unit cell a=4.851 b=4.851 c=4.851 alpha=60.00 beta=60.00 gamma=60.00
Sites, in units of the cell vectors:
Y: 0.000 0.000 0.000
Lu: 0.250 0.250 0.250
Ni: 0.750 0.750 0.750
Ge: 0.500 0.500 0.500

**E**: -5.292 eV/atom

25.
Here is YLu2Ni4Ge4 after structural relaxation from the Open Quantum Materials Database. Energies are from GGA-PBE.

Unit cell a=7.748 b=7.748 c=7.748 alpha=149.83 beta=128.49 gamma=60.86
Sites, in units of the cell vectors:
Y: 0.000 0.000 0.000
Lu: 0.371 0.871 0.500
Lu: 0.629 0.129 0.500
Ni: 0.019 0.323 0.696
Ni: 0.373 0.677 0.696
Ni: 0.627 0.323 0.304
Ni: 0.981 0.677 0.304
Ge: 0.219 0.219 0.000
Ge: 0.308 0.500 0.808
Ge: 0.692 0.500 0.192
Ge: 0.781 0.781 0.000

**E**: -5.870 eV/atom